1.
First-principles (PBE) data for a relaxed Ac4InPb crystal, as listed in Alexandria.

Calculated values
relative energy among the computed polymorphs: 103 meV/atom
N(E_F): 1.65 states/eV/atom
crystal system: monoclinic
spin magnetization: 0.00 μB/f.u.
formation energy from the elements: -0.185 eV per atom

Cell: 9.907 5.720 9.688 Å, 90.00 110.12 90.00°
Space group C2/m (No. 12)
One atom of each set of equivalent atoms:
Ac (0.124, 0.000, 0.373) (multiplicity 4)
Ac (0.129, 0.500, 0.887) (multiplicity 4)
In (0.000, 0.000, 0.000) (multiplicity 2)
Pb (0.000, 0.500, 0.500) (multiplicity 2)

***

2.
First-principles (PBE) data for a relaxed LiCa2Pd crystal, as listed in Alexandria.

Calculated values
N(E_F): 0.53 states/eV/atom
crystal system: monoclinic
spin magnetization: 0.00 μB/f.u.
formation energy from the elements: -0.397 eV per atom

Cell: 6.103 4.420 8.171 Å, 90.00 110.23 90.00°
Space group P2_1/m (No. 11)
One atom of each set of equivalent atoms:
Li (0.126, 0.250, 0.267) (multiplicity 2)
Ca (0.267, 0.750, 0.577) (multiplicity 2)
Ca (0.302, 0.750, 0.066) (multiplicity 2)
Pd (0.132, 0.250, 0.788) (multiplicity 2)

***

3.
First-principles (PBE) data for a relaxed Pm2Sc3Ga4 crystal, as listed in Alexandria.

Calculated values
relative energy among the computed polymorphs: 0 meV/atom
N(E_F): 0.77 states/eV/atom
crystal system: monoclinic
spin magnetization: 0.00 μB/f.u.
formation energy from the elements: -0.611 eV per atom

Cell: 7.654 7.650 7.403 Å, 90.00 108.06 90.00°
Space group P2_1/c (No. 14)
One atom of each set of equivalent atoms:
Pm (0.193, 0.176, 0.073) (multiplicity 4)
Sc (0.248, 0.674, 0.249) (multiplicity 4)
Sc (0.500, 0.000, 0.500) (multiplicity 2)
Ga (0.081, 0.536, 0.867) (multiplicity 4)
Ga (0.498, 0.121, 0.873) (multiplicity 4)

***

4.
First-principles (PBE) data for a relaxed BaSc3Ga crystal, as listed in Alexandria.

Calculated values
relative energy among the computed polymorphs: 0 meV/atom
N(E_F): 1.73 states/eV/atom
crystal system: cubic
spin magnetization: 0.00 μB/f.u.
formation energy from the elements: 0.114 eV per atom

Cell: 5.346 5.346 5.346 Å, 90.00 90.00 90.00°
Space group Pm-3m (No. 221)
One atom of each set of equivalent atoms:
Ba (0.000, 0.000, 0.000) (multiplicity 1)
Sc (0.000, 0.500, 0.500) (multiplicity 3)
Ga (0.500, 0.500, 0.500) (multiplicity 1)

***

5.
First-principles (PBE) data for a relaxed Sc2Ti2Ga3 crystal, as listed in Alexandria.

Calculated values
N(E_F): 0.93 states/eV/atom
crystal system: orthorhombic
spin magnetization: 2.17 μB/f.u.
formation energy from the elements: -0.356 eV per atom

Cell: 4.236 20.496 2.869 Å, 90.00 90.00 90.00°
Space group Cmmm (No. 65)
One atom of each set of equivalent atoms:
Sc (0.000, 0.074, 0.000) (multiplicity 4)
Ti (0.000, 0.212, 0.000) (multiplicity 4)
Ga (0.000, 0.342, 0.500) (multiplicity 4)
Ga (0.000, 0.500, 0.500) (multiplicity 2)

***

6.
First-principles (PBE) data for a relaxed Nd3Al7Ag4 crystal, as listed in Alexandria.

Calculated values
N(E_F): 0.41 states/eV/atom
crystal system: monoclinic
spin magnetization: 0.00 μB/f.u.
formation energy from the elements: -0.376 eV per atom

Cell: 16.431 4.452 9.956 Å, 90.00 127.29 90.00°
Space group C2/m (No. 12)
One atom of each set of equivalent atoms:
Nd (0.000, 0.000, 0.000) (multiplicity 2)
Nd (0.189, 0.500, 0.691) (multiplicity 4)
Al (0.000, 0.000, 0.500) (multiplicity 2)
Al (0.002, 0.500, 0.293) (multiplicity 4)
Al (0.137, 0.000, 0.860) (multiplicity 4)
Al (0.168, 0.500, 0.301) (multiplicity 4)
Ag (0.134, 0.000, 0.409) (multiplicity 4)
Ag (0.161, 0.500, 0.026) (multiplicity 4)

***

7.
First-principles (PBE) data for a relaxed LiPSe crystal, as listed in Alexandria.

Calculated values
relative energy among the computed polymorphs: 0 meV/atom
crystal system: triclinic
formation energy (no corrections): -1.7 eV/f.u.
spin magnetization: 0.00 μB/f.u.

Cell: 3.692 3.963 7.964 Å, 80.56 89.74 89.91°
Space group P-1 (No. 2)
One atom of each set of equivalent atoms:
Li (0.247, 0.206, 0.329) (multiplicity 2)
P (0.250, 0.183, 0.981) (multiplicity 2)
Se (0.254, 0.307, 0.691) (multiplicity 2)

***

8.
First-principles (PBE) data for a relaxed PmSbPd5 crystal, as listed in Alexandria.

Calculated values
N(E_F): 0.44 states/eV/atom
crystal system: tetragonal
formation energy (no corrections): -4.5 eV/f.u.
spin magnetization: 0.00 μB/f.u.

Cell: 4.238 4.238 7.375 Å, 90.00 90.00 90.00°
Space group P4/mmm (No. 123)
One atom of each set of equivalent atoms:
Pm (0.000, 0.000, 0.000) (multiplicity 1)
Sb (0.500, 0.500, 0.500) (multiplicity 1)
Pd (0.000, 0.500, 0.281) (multiplicity 4)
Pd (0.500, 0.500, 0.000) (multiplicity 1)

***

no.,total DFT energy (no corrections) (eV per cell)
1,-47.98
2,-25.39
3,-92.20
4,-23.37
5,-80.05
6,-114.34
7,-24.96
8,-39.33